Computed, not measured: crystalline SrTa2Mn2 at its relaxed geometry at the PBE-GGA level of DFT.

Lattice parameters (Å, degrees): 4.210 4.210 6.298 70.48 70.48 90.00
Atoms (fractional coordinates):
Sr1 0.000 0.000 0.000
Mn1 0.381 0.381 0.239
Mn2 0.619 0.619 0.761
Ta1 0.750 0.250 0.500
Ta2 0.250 0.750 0.500

- energy relative to the lowest polymorph listed for this composition (eV/atom) = 0.000
- spin magnetization (μB per formula unit) = 0.00
- E_form (meV/atom) = 413.5
- E_tot (eV per atom) = -8.332
- density of states at the Fermi level (states/eV/cell) = 4.31
- SG = I4/mmm (139)

---

Computed, not measured: crystalline SrTa2Mn at its relaxed geometry at the PBE-GGA level of DFT.

Lattice parameters (Å, degrees): 9.694 9.694 9.694 18.81 18.81 18.81
Atoms (fractional coordinates):
Mn1 0.250 0.250 0.250
Sr1 0.750 0.750 0.750
Ta1 0.978 0.978 0.978
Ta2 0.522 0.522 0.522

- energy relative to the lowest polymorph listed for this composition (eV/atom) = 0.237
- spin magnetization (μB per formula unit) = 0.00
- E_form (meV/atom) = 754.8
- E_tot (eV per atom) = -7.884
- density of states at the Fermi level (states/eV/cell) = 5.37
- SG = R-3m (166)

---

Among the records above, which one has the lowest E_form? SrTa2Mn2